(1)
12
Lattice="6.284 0.000 0.000 -3.142 5.442 0.000 0.000 0.000 6.945" Properties=species:S:1:pos:R:3 comment="KNp2TlO8 PBE relaxed" total_energy_ev_per_atom=-7.73 pbc="T T T"
K 0.000 0.000 0.000
Np 0.000 3.628 3.140
Np 3.142 1.814 3.805
Tl 0.000 0.000 3.473
O -0.842 2.200 4.352
O 0.000 3.628 1.292
O -0.816 5.072 4.352
O 1.484 1.829 2.593
O 1.658 3.613 4.352
O 3.958 0.371 2.593
O 3.142 1.814 5.653
O 3.984 3.243 2.593

(2)
12
Lattice="2.800 0.000 0.000 -1.400 2.425 0.000 0.000 0.000 23.635" Properties=species:S:1:pos:R:3 comment="MgBeRu2 PBE relaxed" dos_ef_per_ev_cell=8.15 ef_ev_per_atom=0.046 pbc="T T T"
Mg 0.000 0.000 0.000
Mg 0.000 1.617 15.757
Mg 1.400 0.808 7.878
Be 0.000 0.000 11.818
Be 0.000 1.617 3.939
Be 1.400 0.808 19.696
Ru 0.000 0.000 5.645
Ru 0.000 0.000 17.990
Ru 0.000 1.617 10.112
Ru 0.000 1.617 21.402
Ru 1.400 0.808 2.233
Ru 1.400 0.808 13.523

(3)
14
Lattice="11.977 0.000 0.000 0.000 3.444 0.000 -2.685 0.000 5.233" Properties=species:S:1:pos:R:3 comment="TbY2O4 PBE relaxed" total_energy_ev_per_atom=-8.53 dos_ef_per_ev_cell=4.12 pbc="T T T"
Tb 0.000 0.000 0.000
Tb 5.988 1.722 0.000
Y 0.548 1.722 3.680
Y 2.755 0.000 1.553
Y 6.537 0.000 3.680
Y 8.743 1.722 1.553
O 0.448 0.000 2.245
O 1.689 1.722 0.104
O 1.614 0.000 5.129
O 2.855 1.722 2.988
O 6.436 1.722 2.245
O 7.678 0.000 0.104
O 7.602 1.722 5.129
O 8.844 0.000 2.988

(4)
12
Lattice="3.427 0.000 0.000 -1.714 2.968 0.000 0.000 0.000 30.380" Properties=species:S:1:pos:R:3 comment="TmPu2Si PBE relaxed" total_energy_ev_per_atom=-9.56 dos_ef_per_ev_cell=41.04 pbc="T T T"
Tm 0.000 0.000 0.000
Tm 0.000 1.979 20.254
Tm 1.714 0.989 10.127
Pu 0.000 0.000 7.163
Pu 0.000 0.000 23.217
Pu 0.000 1.979 13.091
Pu 0.000 1.979 27.417
Pu 1.714 0.989 2.964
Pu 1.714 0.989 17.290
Si 0.000 0.000 15.190
Si 0.000 1.979 5.063
Si 1.714 0.989 25.317

(5)
5
Lattice="3.774 0.000 0.000 0.000 3.774 0.000 0.000 0.000 3.774" Properties=species:S:1:pos:R:3 comment="MnHgN3 PBE relaxed" total_energy_ev_per_atom=-5.62 dos_ef_per_ev_cell=6.25 pbc="T T T"
Mn 0.000 0.000 0.000
Hg 1.887 1.887 1.887
N 0.000 0.000 1.887
N 0.000 1.887 0.000
N 1.887 0.000 0.000

(6)
10
Lattice="3.982 0.000 0.000 0.000 3.982 0.000 0.000 0.000 14.538" Properties=species:S:1:pos:R:3 comment="DyPaCSe2 PBE relaxed" total_energy_ev_per_atom=-7.32 dos_ef_per_ev_cell=5.10 pbc="T T T"
Dy 0.995 0.995 1.778
Dy 2.986 2.986 12.760
Pa 0.995 0.995 8.448
Pa 2.986 2.986 6.090
C 0.995 2.986 7.269
C 2.986 0.995 7.269
Se 0.995 0.995 4.476
Se 0.995 0.995 13.221
Se 2.986 2.986 1.317
Se 2.986 2.986 10.062

What are the theoretical density values for these records? In order: 5.91 7.31 6.17 11.04 9.19 8.12 Mg/m³.